{
  "formula": "LiHCl",
  "functional": "PBE",
  "state": "relaxed",
  "de_polymorph_mev_per_atom": 0,
  "final_energy_ev_per_atom": -3.317,
  "lattice_angstrom": [[-1.754, -2.443, -2.736], [3.602, -1.721, -0.773], [-1.851, -1.620, 5.657]],
  "species": ["Cl", "H", "H", "Li", "Cl", "Li"],
  "frac_coords": [[0.880, 0.132, 0.611], [0.555, 0.807, 0.960], [0.484, 0.737, 0.818], [0.021, 0.774, 0.891], [0.161, 0.414, 0.171], [0.521, 0.274, 0.891]]
}